Entry 1:
Here is LiMnMo2 at its PBEsol-relaxed geometry from the Alexandria database. Energies are from meta-GGA SCAN.

Geometry as CIF:
```
data_LiMnMo2
_chemical_formula_sum 'Li2 Mn2 Mo4'
_symmetry_space_group_name_H-M 'C m m m'
_symmetry_Int_Tables_number 65
_symmetry_space_group_name_Hall '-C 2 2'
_cell_length_a 3.023
_cell_length_b 4.220
_cell_length_c 8.858
_cell_angle_alpha 90.00
_cell_angle_beta 90.00
_cell_angle_gamma 90.00
loop_
_atom_site_label
_atom_site_type_symbol
_atom_site_fract_x
_atom_site_fract_y
_atom_site_fract_z
Li1 Li 0.000 0.000 0.000
Mn1 Mn 0.000 0.000 0.500
Mo1 Mo 0.000 0.500 0.272
```

Summary:
Crystal system   orthorhombic
Excess energy over the best structure of this formula in the dataset   52 meV per atom
Calculated formation energy   114 kJ/mol of formula units

=====

Entry 2:
Here is InSnIr2Se at its PBEsol-relaxed geometry from the Alexandria database. Energies are from meta-GGA SCAN.

Geometry as CIF:
```
data_InSnIr2Se
_chemical_formula_sum 'In1 Sn1 Ir2 Se1'
_symmetry_space_group_name_H-M 'P 4/m m m'
_symmetry_Int_Tables_number 123
_symmetry_space_group_name_Hall '-P 4 2'
_cell_length_a 4.575
_cell_length_b 4.575
_cell_length_c 5.497
_cell_angle_alpha 90.00
_cell_angle_beta 90.00
_cell_angle_gamma 90.00
loop_
_atom_site_label
_atom_site_type_symbol
_atom_site_fract_x
_atom_site_fract_y
_atom_site_fract_z
In1 In 0.000 0.000 0.000
Sn1 Sn 0.500 0.500 0.000
Ir1 Ir 0.000 0.500 0.500
Se1 Se 0.500 0.500 0.500
```

Summary:
Crystal system   tetragonal
E_form (uncorrected)   1078.1 meV/atom

=====

Entry 3:
Here is LaTi6Bi7O24 at its PBEsol-relaxed geometry from the Alexandria database. Energies are from meta-GGA SCAN.

Geometry as CIF:
```
data_LaTi6Bi7O24
_chemical_formula_sum 'La1 Ti6 Bi7 O24'
_symmetry_space_group_name_H-M 'P 1'
_symmetry_Int_Tables_number 1
_cell_length_a 5.401
_cell_length_b 5.413
_cell_length_c 16.715
_cell_angle_alpha 99.31
_cell_angle_beta 90.01
_cell_angle_gamma 90.07
loop_
_symmetry_equiv_pos_as_xyz
'x,y,z'
loop_
_atom_site_label
_atom_site_type_symbol
_atom_site_fract_x
_atom_site_fract_y
_atom_site_fract_z
La1 La 0.000 0.000 0.000
Ti1 Ti 0.493 0.175 0.384
Ti2 Ti 0.494 0.052 0.125
Ti3 Ti 0.497 0.921 0.870
Ti4 Ti 0.989 0.549 0.124
Ti5 Ti 0.992 0.674 0.384
Ti6 Ti 0.995 0.412 0.871
Bi1 Bi 0.015 0.896 0.706
Bi2 Bi 0.472 0.398 0.706
Bi3 Bi 0.489 0.656 0.260
Bi4 Bi 0.499 0.517 0.992
Bi5 Bi 0.514 0.816 0.551
Bi6 Bi 0.974 0.315 0.551
Bi7 Bi 0.998 0.155 0.260
O1 O 0.056 0.359 0.765
O2 O 0.057 0.564 0.242
O3 O 0.202 0.366 0.373
O4 O 0.204 0.804 0.108
O5 O 0.224 0.691 0.906
O6 O 0.238 0.588 0.626
O7 O 0.249 0.088 0.626
O8 O 0.270 0.194 0.906
O9 O 0.274 0.296 0.105
O10 O 0.282 0.867 0.372
O11 O 0.428 0.068 0.242
O12 O 0.434 0.854 0.765
O13 O 0.551 0.224 0.489
O14 O 0.554 0.948 0.009
O15 O 0.698 0.739 0.140
O16 O 0.709 0.624 0.881
O17 O 0.722 0.412 0.347
O18 O 0.738 0.590 0.629
O19 O 0.750 0.090 0.629
O20 O 0.762 0.912 0.347
O21 O 0.782 0.123 0.878
O22 O 0.790 0.233 0.137
O23 O 0.926 0.464 0.009
O24 O 0.936 0.725 0.489
```

Summary:
Crystal system   triclinic
E_form (uncorrected)   -2406.2 meV/atom

=====

Entry 4:
Here is CdAsIrSe2 at its PBEsol-relaxed geometry from the Alexandria database. Energies are from meta-GGA SCAN.

Geometry as CIF:
```
data_CdAsIrSe2
_chemical_formula_sum 'Cd1 As1 Ir1 Se2'
_symmetry_space_group_name_H-M 'P 4/m m m'
_symmetry_Int_Tables_number 123
_symmetry_space_group_name_Hall '-P 4 2'
_cell_length_a 5.115
_cell_length_b 5.115
_cell_length_c 4.500
_cell_angle_alpha 90.00
_cell_angle_beta 90.00
_cell_angle_gamma 90.00
loop_
_atom_site_label
_atom_site_type_symbol
_atom_site_fract_x
_atom_site_fract_y
_atom_site_fract_z
Cd1 Cd 0.000 0.000 0.000
As1 As 0.500 0.500 0.000
Ir1 Ir 0.500 0.500 0.500
Se1 Se 0.000 0.500 0.500
```

Summary:
Crystal system   tetragonal
Excess energy over the best structure of this formula in the dataset   0 meV per atom
E_form (uncorrected)   406.6 meV/atom

=====

Entry 5:
Here is KGa2Hg2 at its PBEsol-relaxed geometry from the Alexandria database. Energies are from meta-GGA SCAN.

Geometry as CIF:
```
data_KGa2Hg2
_chemical_formula_sum 'K2 Ga4 Hg4'
_symmetry_space_group_name_H-M 'I 4/m m m'
_symmetry_Int_Tables_number 139
_symmetry_space_group_name_Hall '-I 4 2'
_cell_length_a 4.554
_cell_length_b 4.554
_cell_length_c 11.900
_cell_angle_alpha 90.00
_cell_angle_beta 90.00
_cell_angle_gamma 90.00
loop_
_atom_site_label
_atom_site_type_symbol
_atom_site_fract_x
_atom_site_fract_y
_atom_site_fract_z
K1 K 0.000 0.000 0.000
Ga1 Ga 0.000 0.500 0.250
Hg1 Hg 0.000 0.000 0.380
```

Summary:
Crystal system   tetragonal
Calculated formation energy   -78 kJ/mol of formula units

=====

Entry 6:
Here is Sc4TaTc at its PBEsol-relaxed geometry from the Alexandria database. Energies are from meta-GGA SCAN.

Geometry as CIF:
```
data_Sc4TaTc
_chemical_formula_sum 'Sc16 Ta4 Tc4'
_symmetry_space_group_name_H-M 'F -4 3 m'
_symmetry_Int_Tables_number 216
_symmetry_space_group_name_Hall 'F -4 2 3'
_cell_length_a 7.702
_cell_length_b 7.702
_cell_length_c 7.702
_cell_angle_alpha 90.00
_cell_angle_beta 90.00
_cell_angle_gamma 90.00
loop_
_atom_site_label
_atom_site_type_symbol
_atom_site_fract_x
_atom_site_fract_y
_atom_site_fract_z
Sc1 Sc 0.125 0.125 0.125
Ta1 Ta 0.000 0.000 0.500
Tc1 Tc 0.250 0.250 0.750
```

Summary:
Crystal system   cubic
Calculated formation energy   401 kJ/mol of formula units

=====

Entry 7:
Here is Cu2SiRh at its PBEsol-relaxed geometry from the Alexandria database. Energies are from meta-GGA SCAN.

Geometry as CIF:
```
data_Cu2SiRh
_chemical_formula_sum 'Cu6 Si3 Rh3'
_symmetry_space_group_name_H-M 'R -3 m'
_symmetry_Int_Tables_number 166
_symmetry_space_group_name_Hall '-R 3 2"'
_cell_length_a 2.6699
_cell_length_b 2.6699
_cell_length_c 24.0708
_cell_angle_alpha 90.00
_cell_angle_beta 90.00
_cell_angle_gamma 120.00
loop_
_atom_site_label
_atom_site_type_symbol
_atom_site_fract_x
_atom_site_fract_y
_atom_site_fract_z
Cu1 Cu 0.0000 0.0000 0.2458
Si1 Si 0.0000 0.0000 0.5000
Rh1 Rh 0.0000 0.0000 0.0000
```

Summary:
Crystal system   trigonal
E_form (uncorrected)   52.5 meV/atom

=====

Entry 8:
Here is MnCuTc at its PBEsol-relaxed geometry from the Alexandria database. Energies are from meta-GGA SCAN.

Geometry as CIF:
```
data_MnCuTc
_chemical_formula_sum 'Mn2 Cu2 Tc2'
_symmetry_space_group_name_H-M 'I 4 m m'
_symmetry_Int_Tables_number 107
_symmetry_space_group_name_Hall 'I 4 -2'
_cell_length_a 3.018
_cell_length_b 3.018
_cell_length_c 8.018
_cell_angle_alpha 90.00
_cell_angle_beta 90.00
_cell_angle_gamma 90.00
loop_
_atom_site_label
_atom_site_type_symbol
_atom_site_fract_x
_atom_site_fract_y
_atom_site_fract_z
Mn1 Mn 0.000 0.000 0.000
Cu1 Cu 0.000 0.000 0.664
Tc1 Tc 0.000 0.000 0.344
```

Summary:
Crystal system   tetragonal
Excess energy over the best structure of this formula in the dataset   0 meV per atom
Calculated formation energy   28 kJ/mol of formula units

=====

Entry 9:
Here is LaZrBH2 at its PBEsol-relaxed geometry from the Alexandria database. Energies are from meta-GGA SCAN.

Geometry as CIF:
```
data_LaZrBH2
_chemical_formula_sum 'La1 Zr1 B1 H2'
_symmetry_space_group_name_H-M 'P 4/m m m'
_symmetry_Int_Tables_number 123
_symmetry_space_group_name_Hall '-P 4 2'
_cell_length_a 3.867
_cell_length_b 3.867
_cell_length_c 6.323
_cell_angle_alpha 90.00
_cell_angle_beta 90.00
_cell_angle_gamma 90.00
loop_
_atom_site_label
_atom_site_type_symbol
_atom_site_fract_x
_atom_site_fract_y
_atom_site_fract_z
La1 La 0.000 0.000 0.000
Zr1 Zr 0.000 0.000 0.500
B1 B 0.500 0.500 0.500
H1 H 0.000 0.500 0.000
```

Summary:
Crystal system   tetragonal

=====

Entry 10:
Here is Li2RhAu at its PBEsol-relaxed geometry from the Alexandria database. Energies are from meta-GGA SCAN.

Geometry as CIF:
```
data_Li2RhAu
_chemical_formula_sum 'Li4 Rh2 Au2'
_symmetry_space_group_name_H-M 'C 1 2/m 1'
_symmetry_Int_Tables_number 12
_cell_length_a 8.655
_cell_length_b 2.731
_cell_length_c 4.759
_cell_angle_alpha 90.00
_cell_angle_beta 100.48
_cell_angle_gamma 90.00
loop_
_symmetry_equiv_pos_as_xyz
'x,y,z'
'-x,-y,-z'
'-x,y,-z'
'x,-y,z'
'x+1/2,y+1/2,z'
'-x+1/2,-y+1/2,-z'
'-x+1/2,y+1/2,-z'
'x+1/2,-y+1/2,z'
loop_
_atom_site_label
_atom_site_type_symbol
_atom_site_fract_x
_atom_site_fract_y
_atom_site_fract_z
Li1 Li 0.248 0.000 0.235
Rh1 Rh 0.000 0.500 0.000
Au1 Au 0.000 0.000 0.500
```

Summary:
Crystal system   monoclinic
Calculated formation energy   -139 kJ/mol of formula units

=====

Entry 11:
Here is ZrSbH3 at its PBEsol-relaxed geometry from the Alexandria database. Energies are from meta-GGA SCAN.

Geometry as CIF:
```
data_ZrSbH3
_chemical_formula_sum 'Zr1 Sb1 H3'
_symmetry_space_group_name_H-M 'P m -3 m'
_symmetry_Int_Tables_number 221
_symmetry_space_group_name_Hall '-P 4 2 3'
_cell_length_a 3.825
_cell_length_b 3.825
_cell_length_c 3.825
_cell_angle_alpha 90.00
_cell_angle_beta 90.00
_cell_angle_gamma 90.00
loop_
_atom_site_label
_atom_site_type_symbol
_atom_site_fract_x
_atom_site_fract_y
_atom_site_fract_z
Zr1 Zr 0.000 0.000 0.000
Sb1 Sb 0.500 0.500 0.500
H1 H 0.000 0.000 0.500
```

Summary:
Crystal system   cubic
Excess energy over the best structure of this formula in the dataset   0 meV per atom

=====

Entry 12:
Here is LaZnTc2 at its PBEsol-relaxed geometry from the Alexandria database. Energies are from meta-GGA SCAN.

Geometry as CIF:
```
data_LaZnTc2
_chemical_formula_sum 'La1 Zn1 Tc2'
_symmetry_space_group_name_H-M 'P m m m'
_symmetry_Int_Tables_number 47
_cell_length_a 3.132
_cell_length_b 4.434
_cell_length_c 4.982
_cell_angle_alpha 90.00
_cell_angle_beta 90.00
_cell_angle_gamma 90.00
loop_
_symmetry_equiv_pos_as_xyz
'x,y,z'
'-x,-y,-z'
'-x,-y,z'
'x,y,-z'
'x,-y,-z'
'-x,y,z'
'-x,y,-z'
'x,-y,z'
loop_
_atom_site_label
_atom_site_type_symbol
_atom_site_fract_x
_atom_site_fract_y
_atom_site_fract_z
La1 La 0.000 0.000 0.000
Zn1 Zn 0.500 0.000 0.500
Tc1 Tc 0.000 0.500 0.500
Tc2 Tc 0.500 0.500 0.000
```

Summary:
Crystal system   orthorhombic
Calculated formation energy   202 kJ/mol of formula units

=====

Entry 13:
Here is SrSbPd2 at its PBEsol-relaxed geometry from the Alexandria database. Energies are from meta-GGA SCAN.

Geometry as CIF:
```
data_SrSbPd2
_chemical_formula_sum 'Sr4 Sb4 Pd8'
_symmetry_space_group_name_H-M 'I -4 2 d'
_symmetry_Int_Tables_number 122
_symmetry_space_group_name_Hall 'I -4 2bw'
_cell_length_a 5.032
_cell_length_b 5.032
_cell_length_c 17.605
_cell_angle_alpha 90.00
_cell_angle_beta 90.00
_cell_angle_gamma 90.00
loop_
_atom_site_label
_atom_site_type_symbol
_atom_site_fract_x
_atom_site_fract_y
_atom_site_fract_z
Sr1 Sr 0.000 0.000 0.000
Sb1 Sb 0.000 0.000 0.500
Pd1 Pd 0.052 0.250 0.625
```

Summary:
Crystal system   tetragonal
E_form (uncorrected)   -607.4 meV/atom

=====

Entry 14:
Here is TcOsRh2 at its PBEsol-relaxed geometry from the Alexandria database. Energies are from meta-GGA SCAN.

Geometry as CIF:
```
data_TcOsRh2
_chemical_formula_sum 'Tc2 Os2 Rh4'
_symmetry_space_group_name_H-M 'I 4/m m m'
_symmetry_Int_Tables_number 139
_symmetry_space_group_name_Hall '-I 4 2'
_cell_length_a 3.760
_cell_length_b 3.760
_cell_length_c 7.715
_cell_angle_alpha 90.00
_cell_angle_beta 90.00
_cell_angle_gamma 90.00
loop_
_atom_site_label
_atom_site_type_symbol
_atom_site_fract_x
_atom_site_fract_y
_atom_site_fract_z
Tc1 Tc 0.000 0.000 0.000
Os1 Os 0.000 0.000 0.500
Rh1 Rh 0.000 0.500 0.250
```

Summary:
Crystal system   tetragonal
Excess energy over the best structure of this formula in the dataset   88 meV per atom
Calculated formation energy   0 kJ/mol of formula units

=====

Computed total energy, in the same sequence as the records: -22.308, -45.239, -24.482, -31.966, -35.633, -25.740, -18.494, -22.740, -16.753, -27.288, -15.669, -31.163, -31.879, -43.621 eV per atom.